[1]
# Au6Se

A geometry-optimized Au6Se structure (PBE-GGA, Alexandria).

a = 6.479 Å, b = 6.479 Å, c = 6.479 Å
α = 109.47°, β = 109.47°, γ = 109.47°
Positions (direct):
Au  0.250  0.500  0.750
Au  0.250  0.750  0.500
Au  0.500  0.250  0.750
Au  0.500  0.750  0.250
Au  0.750  0.250  0.500
Au  0.750  0.500  0.250
Se  0.000  0.000  0.000

Summary:
Calculated volume ... 29.9 Å³/atom
Magnetization ... 1.6 μB per formula unit
Uncorrected formation energy ... 18.572 kcal/mol of atoms

---

[2]
# Au3Se

A geometry-optimized Au3Se structure (PBE-GGA, Alexandria).

a = 5.783 Å, b = 5.783 Å, c = 5.783 Å
α = 151.45°, β = 63.57°, γ = 124.52°
Positions (direct):
Au  0.000  0.000  0.000
Au  0.026  0.285  0.741
Au  0.543  0.285  0.259
Se  0.489  0.989  0.500

Summary:
Calculated volume ... 18.9 Å³/atom
Magnetization ... 0.0 μB per formula unit
Uncorrected formation energy ... 4.857 kcal/mol of atoms

---

[3]
# Au2Se

A geometry-optimized Au2Se structure (PBE-GGA, Alexandria).

a = 5.527 Å, b = 5.527 Å, c = 5.527 Å
α = 102.67°, β = 102.67°, γ = 124.16°
Positions (direct):
Au  0.139  0.639  0.778
Au  0.361  0.139  0.500
Au  0.639  0.861  0.500
Au  0.861  0.361  0.222
Se  0.250  0.250  0.000
Se  0.750  0.750  0.000

Summary:
Calculated volume ... 20.6 Å³/atom
Magnetization ... 0.0 μB per formula unit
Uncorrected formation energy ... 10.469 kcal/mol of atoms

---

[4]
# AuSe

A geometry-optimized AuSe structure (PBE-GGA, Alexandria).

a = 5.061 Å, b = 5.061 Å, c = 4.462 Å
α = 90.00°, β = 90.00°, γ = 90.00°
Positions (direct):
Au  0.250  0.250  0.136
Au  0.750  0.750  0.864
Se  0.250  0.750  0.000
Se  0.750  0.250  0.000

Summary:
Calculated volume ... 28.6 Å³/atom
Magnetization ... 0.0 μB per formula unit
Uncorrected formation energy ... 2.953 kcal/mol of atoms